{
  "formula": "Sr3BF",
  "functional": "PBE",
  "state": "optimized geometry",
  "lattice_angstrom": [[5.072, 0.000, 0.000], [0.000, 5.072, 0.000], [0.000, 0.000, 5.072]],
  "species": ["Sr", "Sr", "Sr", "B", "F"],
  "frac_coords": [[0.000, 0.000, 0.500], [0.000, 0.500, 0.000], [0.500, 0.000, 0.000], [0.500, 0.500, 0.500], [0.000, 0.000, 0.000]],
  "de_polymorph_mev_per_atom": 0.0,
  "vol_a3_per_atom": 26.10,
  "e_form_raw_ev_per_atom": -0.441
}

---

{
  "formula": "Rb2NaCdCo",
  "functional": "PBE",
  "state": "optimized geometry",
  "lattice_angstrom": [[6.577, 0.000, 0.000], [0.000, 6.577, 0.000], [0.000, 0.000, 5.053]],
  "species": ["Rb", "Rb", "Na", "Cd", "Co"],
  "frac_coords": [[0.000, 0.500, 0.000], [0.500, 0.000, 0.000], [0.000, 0.000, 0.500], [0.500, 0.500, 0.500], [0.500, 0.500, 0.000]],
  "vol_a3_per_atom": 43.71
}

---

{
  "formula": "CsZrI3",
  "functional": "PBE",
  "state": "optimized geometry",
  "lattice_angstrom": [[7.587, 0.000, 0.000], [0.000, 7.512, 0.000], [-3.216, 0.000, 8.200]],
  "species": ["Cs", "Cs", "Zr", "Zr", "I", "I", "I", "I", "I", "I"],
  "frac_coords": [[0.195, 0.250, 0.308], [0.805, 0.750, 0.692], [0.468, 0.750, 0.015], [0.532, 0.250, 0.985], [0.160, 0.750, 0.134], [0.305, 0.503, 0.736], [0.305, 0.997, 0.736], [0.695, 0.003, 0.264], [0.695, 0.497, 0.264], [0.840, 0.250, 0.866]],
  "de_polymorph_mev_per_atom": 176.9,
  "vol_a3_per_atom": 46.73,
  "e_form_raw_ev_per_atom": -0.860
}

---

{
  "formula": "NbSe2S",
  "functional": "PBE",
  "state": "optimized geometry",
  "lattice_angstrom": [[1.707, -9.365, 0.000], [1.707, 9.365, 0.000], [0.000, 0.000, 5.394]],
  "species": ["Nb", "Nb", "Se", "Se", "Se", "Se", "S", "S"],
  "frac_coords": [[0.230, 0.770, 0.750], [0.770, 0.230, 0.250], [0.350, 0.650, 0.002], [0.350, 0.650, 0.498], [0.650, 0.350, 0.502], [0.650, 0.350, 0.998], [0.011, 0.989, 0.250], [0.989, 0.011, 0.750]],
  "vol_a3_per_atom": 21.56,
  "e_form_raw_ev_per_atom": -0.112
}

---

{
  "formula": "Ti2BeHg",
  "functional": "PBE",
  "state": "optimized geometry",
  "lattice_angstrom": [[-3.672, 3.672, 2.459], [3.672, -3.672, 2.459], [3.672, 3.672, -2.459]],
  "species": ["Ti", "Ti", "Ti", "Ti", "Be", "Be", "Hg", "Hg"],
  "frac_coords": [[0.100, 0.125, 0.475], [0.375, 0.900, 0.025], [0.650, 0.625, 0.525], [0.875, 0.350, 0.975], [0.000, 0.000, 0.000], [0.750, 0.250, 0.500], [0.250, 0.750, 0.500], [0.500, 0.500, 0.000]],
  "de_polymorph_mev_per_atom": 414.8,
  "vol_a3_per_atom": 16.58
}

---

{
  "formula": "PmAsPd2",
  "functional": "PBE",
  "state": "optimized geometry",
  "lattice_angstrom": [[4.250, 0.000, 0.000], [0.000, 4.250, 0.000], [0.000, 0.000, 4.307]],
  "species": ["Pm", "As", "Pd", "Pd"],
  "frac_coords": [[0.000, 0.000, 0.000], [0.500, 0.500, 0.000], [0.000, 0.500, 0.500], [0.500, 0.000, 0.500]],
  "vol_a3_per_atom": 19.45
}

---

Raw total energy values, unit eV/atom, following the record order: -3.16, -1.67, -3.67, -5.40, -4.57, -5.64.